Entry 1:
# Ba2ZnTe3 (PBE-GGA, relaxed)
data_Ba2ZnTe3
_symmetry_space_group_name_H-M 'P n m a'
_symmetry_Int_Tables_number 62
_cell_length_a 9.8809
_cell_length_b 4.7282
_cell_length_c 19.0924
_cell_angle_alpha 90.00
_cell_angle_beta 90.00
_cell_angle_gamma 90.00
loop_
_symmetry_equiv_pos_as_xyz
'x,y,z'
'-x,-y,-z'
'-x+1/2,-y,z+1/2'
'x+1/2,y,-z+1/2'
'x+1/2,-y+1/2,-z+1/2'
'-x+1/2,y+1/2,z+1/2'
'-x,y+1/2,-z'
'x,-y+1/2,z'
loop_
_atom_site_label
_atom_site_fract_x
_atom_site_fract_y
_atom_site_fract_z
Ba1 0.0829 0.2500 0.2119
Ba2 0.2435 0.7500 0.4582
Zn1 0.1410 0.2500 0.6368
Te1 0.0053 0.7500 0.6022
Te2 0.1213 0.7500 0.0698
Te3 0.1825 0.2500 0.7758
# ρ in Mg/m³: 5.4
# Final energy in eV/atom: -3.747
# Crystal system: orthorhombic

Entry 2:
# Ba2ZnTe (PBE-GGA, relaxed)
data_Ba2ZnTe
_symmetry_space_group_name_H-M 'P 4/m m m'
_symmetry_Int_Tables_number 123
_symmetry_space_group_name_Hall '-P 4 2'
_cell_length_a 4.3025
_cell_length_b 4.3025
_cell_length_c 8.0759
_cell_angle_alpha 90.00
_cell_angle_beta 90.00
_cell_angle_gamma 90.00
loop_
_atom_site_label
_atom_site_fract_x
_atom_site_fract_y
_atom_site_fract_z
Ba1 0.0000 0.0000 0.2492
Zn1 0.5000 0.5000 0.5000
Te1 0.5000 0.5000 0.0000
# ρ in Mg/m³: 5.2
# Final energy in eV/atom: -2.902
# Crystal system: tetragonal
# Relative energy among the computed polymorphs in meV per atom: 0
# Density of states at the Fermi level in states/eV/cell: 2.9

Entry 3:
# Ba2ZrTe (PBE-GGA, relaxed)
data_Ba2ZrTe
_symmetry_space_group_name_H-M 'C 1 m 1'
_symmetry_Int_Tables_number 8
_cell_length_a 13.2079
_cell_length_b 3.9261
_cell_length_c 6.0817
_cell_angle_alpha 90.00
_cell_angle_beta 109.20
_cell_angle_gamma 90.00
loop_
_symmetry_equiv_pos_as_xyz
'x,y,z'
'x,-y,z'
'x+1/2,y+1/2,z'
'x+1/2,-y+1/2,z'
loop_
_atom_site_label
_atom_site_fract_x
_atom_site_fract_y
_atom_site_fract_z
Ba1 0.0000 0.0000 0.0000
Ba2 0.1964 0.0000 0.6261
Zr1 0.4155 0.0000 0.4229
Te1 0.2552 0.5000 0.1605
# ρ in Mg/m³: 5.5
# Final energy in eV/atom: -4.179
# Crystal system: monoclinic
# Density of states at the Fermi level in states/eV/cell: 10.4

Entry 4:
# BaZr2Te (PBE-GGA, relaxed)
data_BaZr2Te
_symmetry_space_group_name_H-M 'I -4 m 2'
_symmetry_Int_Tables_number 119
_symmetry_space_group_name_Hall 'I -4 -2'
_cell_length_a 4.8089
_cell_length_b 4.8089
_cell_length_c 9.5304
_cell_angle_alpha 90.00
_cell_angle_beta 90.00
_cell_angle_gamma 90.00
loop_
_atom_site_label
_atom_site_fract_x
_atom_site_fract_y
_atom_site_fract_z
Ba1 0.0000 0.0000 0.0000
Zr1 0.0000 0.0000 0.5000
Zr2 0.0000 0.5000 0.2500
Te1 0.0000 0.5000 0.7500
# ρ in Mg/m³: 6.7
# Final energy in eV/atom: -5.357
# Crystal system: tetragonal
# Density of states at the Fermi level in states/eV/cell: 12.7

Entry 5:
# BaZr2Te (PBE-GGA, relaxed)
data_BaZr2Te
_symmetry_space_group_name_H-M 'C 1 2/m 1'
_symmetry_Int_Tables_number 12
_cell_length_a 6.6083
_cell_length_b 11.0298
_cell_length_c 3.8452
_cell_angle_alpha 90.00
_cell_angle_beta 125.30
_cell_angle_gamma 90.00
loop_
_symmetry_equiv_pos_as_xyz
'x,y,z'
'-x,-y,-z'
'-x,y,-z'
'x,-y,z'
'x+1/2,y+1/2,z'
'-x+1/2,-y+1/2,-z'
'-x+1/2,y+1/2,-z'
'x+1/2,-y+1/2,z'
loop_
_atom_site_label
_atom_site_fract_x
_atom_site_fract_y
_atom_site_fract_z
Ba1 0.0000 0.0000 0.0000
Zr1 0.2500 0.2500 0.0000
Te1 0.0000 0.5000 0.0000
# ρ in Mg/m³: 6.5
# Final energy in eV/atom: -5.441
# Crystal system: monoclinic
# Density of states at the Fermi level in states/eV/cell: 9.8

Entry 6:
# Ba2ZrTe2 (PBE-GGA, relaxed)
data_Ba2ZrTe2
_symmetry_space_group_name_H-M 'I 4/m m m'
_symmetry_Int_Tables_number 139
_symmetry_space_group_name_Hall '-I 4 2'
_cell_length_a 4.6488
_cell_length_b 4.6488
_cell_length_c 16.2433
_cell_angle_alpha 90.00
_cell_angle_beta 90.00
_cell_angle_gamma 90.00
loop_
_atom_site_label
_atom_site_fract_x
_atom_site_fract_y
_atom_site_fract_z
Ba1 0.0000 0.5000 0.2500
Zr1 0.0000 0.0000 0.0000
Te1 0.0000 0.0000 0.4033
# ρ in Mg/m³: 5.9
# Final energy in eV/atom: -3.725
# Crystal system: tetragonal
# Relative energy among the computed polymorphs in meV per atom: 854
# Density of states at the Fermi level in states/eV/cell: 9.5

Entry 7:
# BaZrTe4 (PBE-GGA, relaxed)
data_BaZrTe4
_symmetry_space_group_name_H-M 'C 1 2/c 1'
_symmetry_Int_Tables_number 15
_cell_length_a 10.8190
_cell_length_b 12.6863
_cell_length_c 7.4325
_cell_angle_alpha 90.00
_cell_angle_beta 124.89
_cell_angle_gamma 90.00
loop_
_symmetry_equiv_pos_as_xyz
'x,y,z'
'-x,-y,-z'
'-x,y,-z+1/2'
'x,-y,z+1/2'
'x+1/2,y+1/2,z'
'-x+1/2,-y+1/2,-z'
'-x+1/2,y+1/2,-z+1/2'
'x+1/2,-y+1/2,z+1/2'
loop_
_atom_site_label
_atom_site_fract_x
_atom_site_fract_y
_atom_site_fract_z
Ba1 0.0000 0.1302 0.2500
Zr1 0.0000 0.4953 0.2500
Te1 0.1442 0.3339 0.6421
Te2 0.2482 0.0686 0.7976
# ρ in Mg/m³: 5.9
# Final energy in eV/atom: -4.751
# Crystal system: monoclinic
# Relative energy among the computed polymorphs in meV per atom: 0
# Density of states at the Fermi level in states/eV/cell: 13.8

Entry 8:
# Ba2ZrTe (PBE-GGA, relaxed)
data_Ba2ZrTe
_symmetry_space_group_name_H-M 'I m m m'
_symmetry_Int_Tables_number 71
_symmetry_space_group_name_Hall '-I 2 2'
_cell_length_a 5.4401
_cell_length_b 5.4509
_cell_length_c 10.0778
_cell_angle_alpha 90.00
_cell_angle_beta 90.00
_cell_angle_gamma 90.00
loop_
_atom_site_label
_atom_site_fract_x
_atom_site_fract_y
_atom_site_fract_z
Ba1 0.0000 0.0000 0.2502
Zr1 0.0000 0.5000 0.0000
Te1 0.0000 0.5000 0.5000
# ρ in Mg/m³: 5.5
# Final energy in eV/atom: -3.880
# Crystal system: orthorhombic
# Density of states at the Fermi level in states/eV/cell: 9.2

Entry 9:
# BaZr2Te (PBE-GGA, relaxed)
data_BaZr2Te
_symmetry_space_group_name_H-M 'P 4/m m m'
_symmetry_Int_Tables_number 123
_symmetry_space_group_name_Hall '-P 4 2'
_cell_length_a 3.8106
_cell_length_b 3.8106
_cell_length_c 7.8856
_cell_angle_alpha 90.00
_cell_angle_beta 90.00
_cell_angle_gamma 90.00
loop_
_atom_site_label
_atom_site_fract_x
_atom_site_fract_y
_atom_site_fract_z
Ba1 0.0000 0.0000 0.0000
Zr1 0.5000 0.5000 0.3203
Te1 0.0000 0.0000 0.5000
# ρ in Mg/m³: 6.5
# Final energy in eV/atom: -5.592
# Crystal system: tetragonal
# Density of states at the Fermi level in states/eV/cell: 2.5

Entry 10:
# BaZr2Te (PBE-GGA, relaxed)
data_BaZr2Te
_symmetry_space_group_name_H-M 'C 1 2/m 1'
_symmetry_Int_Tables_number 12
_cell_length_a 11.0302
_cell_length_b 3.5675
_cell_length_c 5.9304
_cell_angle_alpha 90.00
_cell_angle_beta 104.01
_cell_angle_gamma 90.00
loop_
_symmetry_equiv_pos_as_xyz
'x,y,z'
'-x,-y,-z'
'-x,y,-z'
'x,-y,z'
'x+1/2,y+1/2,z'
'-x+1/2,-y+1/2,-z'
'-x+1/2,y+1/2,-z'
'x+1/2,-y+1/2,z'
loop_
_atom_site_label
_atom_site_fract_x
_atom_site_fract_y
_atom_site_fract_z
Ba1 0.0000 0.0000 0.0000
Zr1 0.2243 0.0000 0.6972
Te1 0.0000 0.5000 0.5000
# ρ in Mg/m³: 6.6
# Final energy in eV/atom: -5.615
# Crystal system: monoclinic
# Density of states at the Fermi level in states/eV/cell: 7.0

Entry 11:
# BaZr2Te (PBE-GGA, relaxed)
data_BaZr2Te
_symmetry_space_group_name_H-M 'I m m m'
_symmetry_Int_Tables_number 71
_symmetry_space_group_name_Hall '-I 2 2'
_cell_length_a 3.5089
_cell_length_b 5.7386
_cell_length_c 11.9018
_cell_angle_alpha 90.00
_cell_angle_beta 90.00
_cell_angle_gamma 90.00
loop_
_atom_site_label
_atom_site_fract_x
_atom_site_fract_y
_atom_site_fract_z
Ba1 0.0000 0.0000 0.0000
Zr1 0.0000 0.5000 0.2088
Te1 0.0000 0.0000 0.5000
# ρ in Mg/m³: 6.2
# Final energy in eV/atom: -5.560
# Crystal system: orthorhombic
# Density of states at the Fermi level in states/eV/cell: 11.2

Entry 12:
# BaZr2Te (PBE-GGA, relaxed)
data_BaZr2Te
_symmetry_space_group_name_H-M 'C 1 m 1'
_symmetry_Int_Tables_number 8
_cell_length_a 9.7480
_cell_length_b 3.7097
_cell_length_c 7.2466
_cell_angle_alpha 90.00
_cell_angle_beta 99.24
_cell_angle_gamma 90.00
loop_
_symmetry_equiv_pos_as_xyz
'x,y,z'
'x,-y,z'
'x+1/2,y+1/2,z'
'x+1/2,-y+1/2,z'
loop_
_atom_site_label
_atom_site_fract_x
_atom_site_fract_y
_atom_site_fract_z
Ba1 0.0000 0.0000 0.0000
Zr1 0.0248 0.5000 0.4667
Zr2 0.2822 0.5000 0.3827
Te1 0.2471 0.0000 0.6893
# ρ in Mg/m³: 5.7
# Final energy in eV/atom: -5.684
# Crystal system: monoclinic
# Density of states at the Fermi level in states/eV/cell: 6.6

Entry 13:
# Ba2ZrTe2 (PBE-GGA, relaxed)
data_Ba2ZrTe2
_symmetry_space_group_name_H-M 'P 4/m b m'
_symmetry_Int_Tables_number 127
_symmetry_space_group_name_Hall '-P 4 2ab'
_cell_length_a 8.5160
_cell_length_b 8.5160
_cell_length_c 4.9442
_cell_angle_alpha 90.00
_cell_angle_beta 90.00
_cell_angle_gamma 90.00
loop_
_atom_site_label
_atom_site_fract_x
_atom_site_fract_y
_atom_site_fract_z
Ba1 0.1535 0.3465 0.0000
Zr1 0.0000 0.0000 0.5000
Te1 0.1612 0.6612 0.5000
# ρ in Mg/m³: 5.8
# Final energy in eV/atom: -4.579
# Crystal system: tetragonal
# Relative energy among the computed polymorphs in meV per atom: 0
# Density of states at the Fermi level in states/eV/cell: 10.0

Number 1: ΔE_f (raw) -30.5 kcal/mol of atoms. Number 2: ΔE_f (raw) -19.3 kcal/mol of atoms. Number 3: ΔE_f (raw) -6.8 kcal/mol of atoms. Number 4: ΔE_f (raw) 4.2 kcal/mol of atoms. Number 5: ΔE_f (raw) 2.3 kcal/mol of atoms. Number 6: ΔE_f (raw) 0.2 kcal/mol of atoms. Number 7: ΔE_f (raw) -21.0 kcal/mol of atoms. Number 8: ΔE_f (raw) 0.1 kcal/mol of atoms. Number 9: ΔE_f (raw) -1.2 kcal/mol of atoms. Number 10: ΔE_f (raw) -1.7 kcal/mol of atoms. Number 11: ΔE_f (raw) -0.5 kcal/mol of atoms. Number 12: ΔE_f (raw) -3.3 kcal/mol of atoms. Number 13: ΔE_f (raw) -19.4 kcal/mol of atoms.